Computed, not measured: a relaxed structure of ReTe4Se at the PBE-GGA level of DFT.

Calculated values
**Spin magnetization**: 0.01 Bohr magnetons per cell
**Energy relative to the lowest polymorph listed for this composition**: 0.075 eV/atom

Cell: 6.8865 7.8365 8.0323 Å, 71.49 65.04 68.81°
With the nearest neighbours (Å) after each atom.
Space group P-1 (No. 2)
Symmetry-distinct sites (fractional):
Re1 0.2210 0.4971 0.4906 x2  2 Se 2.54, 3 Te 2.77-2.80
Te1 0.1331 0.1817 0.4732 x2  2 Re 2.79-2.80, 2 Te 2.83-3.04
Te2 0.1348 0.4941 0.1748 x2  2 Re 2.77-2.85, 2 Te 2.83-3.06
Te3 0.2959 0.1599 0.7792 x2  3 Te 2.87-3.19, 1 Re 2.96
Te4 0.3590 0.7765 0.1562 x2  2 Te 2.87-3.06, 1 Re 2.92
Se1 0.3629 0.6430 0.6430 x2  2 Re 2.54